(1)
Tb5YHo8: optimized geometry, GGA-PBE.

- DFT total energy: -4.481 eV per atom
- Crystal system: tetragonal

Cell and atoms, written as extended XYZ:
```
14
Lattice="8.403 -0.086 0.149 -2.924 7.878 -0.149 -2.554 -4.026 6.921" Properties=species:S:1:pos:R:3 pbc="T T T"
Y -1.277 0.898 5.154
Tb 3.030 2.398 4.952
Ho 0.017 3.797 5.734
Ho -0.984 5.485 0.466
Ho 1.014 0.315 2.956
Tb -0.995 1.992 0.895
Ho -2.725 3.964 3.189
Ho 2.099 -0.649 6.407
Tb 2.924 -2.056 3.535
Tb 4.156 6.258 1.289
Ho 4.528 0.590 2.377
Ho 5.802 -2.067 4.686
Tb -0.342 -3.118 6.706
Ho 1.947 3.626 1.869
```

(2)
Nd3As4Pt4: optimized geometry, GGA-PBE.

- DFT total energy: -6.210 eV per atom
- Crystal system: orthorhombic

Cell and atoms, written as extended XYZ:
```
11
Lattice="0.056 3.516 2.568 -2.926 1.810 -2.415 -7.642 -7.760 7.100" Properties=species:S:1:pos:R:3 pbc="T T T"
Nd -7.804 -2.655 3.805
As -2.366 2.141 0.812
Pt -7.337 -2.377 7.107
As -4.949 -1.052 1.548
Pt -4.633 -2.601 3.663
As -8.146 -4.574 6.441
Nd 0.000 0.000 0.000
Nd -2.708 0.222 3.447
Pt -3.175 -0.056 0.146
Pt -5.879 0.168 3.590
As -5.563 -1.381 5.704
```

| no. | energy relative to the elements (eV per atom) |
| --- | --- |
| 1 | 0.2501 |
| 2 | -1.0225 |